[1]
A plane-wave DFT calculation with PBE-GGA was carried out for a relaxed structure of Rb4Pm3ZrO8.

The structure in extended XYZ format:
```
16
Lattice="3.562 2.057 6.582 -3.562 2.057 6.582 0.000 -4.113 6.582" Properties=species:S:1:pos:R:3 pbc="T T T"
Rb 0.000 0.000 0.000
Rb -1.781 -1.028 6.582
Rb -1.781 1.028 13.163
Rb 0.000 2.057 6.582
Pm -3.562 0.000 9.872
Pm -1.781 1.028 3.291
Pm 1.781 1.028 3.291
Zr 0.000 0.000 9.872
O 0.000 0.000 4.472
O -1.642 -0.948 11.018
O 0.000 -1.896 8.727
O -1.642 0.948 8.727
O 1.642 -0.948 11.018
O 0.000 1.896 11.018
O 1.642 0.948 8.727
O 0.000 0.000 15.273
```

Values from the calculation:
Energy relative to the elements, uncorrected: -40.02 eV/f.u.
DFT total energy: -106.4 eV/cell
Space group: R-3m, No. 166

[2]
A plane-wave DFT calculation with PBE-GGA was carried out for a relaxed structure of TlFe2W.

The structure in extended XYZ format:
```
4
Lattice="1.616 -2.315 0.000 1.616 2.315 0.000 0.000 0.000 8.636" Properties=species:S:1:pos:R:3 pbc="T T T"
Tl 0.000 0.000 0.000
Fe 0.000 0.000 4.514
Fe 1.616 0.000 6.299
W 1.616 0.000 2.566
```

Values from the calculation:
ΔH_f (0 K): 61 kJ/mol of atoms
DFT total energy: -29.7 eV/cell
Energy above the lowest structure with this stoichiometry: 192 meV/atom
Space group: Cmm2, No. 35

[3]
A plane-wave DFT calculation with PBE-GGA was carried out for a relaxed structure of NpTlPO6.

The structure in extended XYZ format:
```
9
Lattice="5.183 0.000 0.000 -2.591 4.489 0.000 0.000 0.000 6.276" Properties=species:S:1:pos:R:3 pbc="T T T"
Np 0.000 0.000 0.000
Tl 2.591 1.496 3.138
P 0.000 2.992 0.000
O -0.650 1.728 0.997
O -1.420 3.062 5.280
O 0.650 1.728 5.280
O -0.770 4.187 0.997
O 1.420 3.062 0.997
O 0.770 4.187 5.280
```

Values from the calculation:
Energy relative to the elements, uncorrected: -17.55 eV/f.u.
DFT total energy: -68.0 eV/cell
Space group: P312, No. 149

Summary of total moment in Bohr magnetons per cell
0.00; 4.88; 1.00
(order as listed above)